RbGdSn4 | PBE | optimized geometry

Structure (CIF):
```
data_RbGdSn4
_chemical_formula_sum 'Rb1 Gd1 Sn4'
_cell_length_a 6.3463
_cell_length_b 6.3463
_cell_length_c 6.3463
_cell_angle_alpha 60.00
_cell_angle_beta 60.00
_cell_angle_gamma 60.00
_space_group_name_H-M_alt 'P 1'
_space_group_IT_number 1
loop_
_space_group_symop_operation_xyz
'x,y,z'
loop_
_atom_site_label
_atom_site_type_symbol
_atom_site_fract_x
_atom_site_fract_y
_atom_site_fract_z
_atom_site_occupancy
Rb1 Rb 0.0000 0.0000 0.0000 1
Gd1 Gd 0.7500 0.7500 0.7500 1
Sn1 Sn 0.3761 0.3761 0.3761 1
Sn2 Sn 0.3761 0.3761 0.8718 1
Sn3 Sn 0.3761 0.8718 0.3761 1
Sn4 Sn 0.8718 0.3761 0.3761 1
```

Properties
Energy of formation ... -0.2221 eV per atom
Theoretical density ... 6.6 g cm⁻³
SG ... F-43m
Calculated volume ... 180.7 Å³ per cell
Uncorrected energy ... -5.40 eV/atom
Crystal system ... cubic